Record 1
A geometry-optimized Ca3Ag4Pb2 structure. Source: Alexandria via LeMat-Bulk, functional PBE.

POSCAR file:
```
Ca3Ag4Pb2
1.0
5.661 -2.426 0.000
5.661 2.426 0.000
-4.229 0.000 8.398
Ca Ag Pb
3 4 2
Direct
0.000 0.000 0.000 Ca
0.348 0.348 0.316 Ca
0.652 0.652 0.684 Ca
0.077 0.077 0.418 Ag
0.280 0.280 0.950 Ag
0.720 0.720 0.050 Ag
0.923 0.923 0.582 Ag
0.366 0.366 0.701 Pb
0.634 0.634 0.299 Pb
```

Values from the calculation:
The calculated formation energy comes out at -0.3130 eV per atom. Its space group is No. 12. The total energy is -3.07 eV per atom.

***

Record 2
A geometry-optimized Tb3Ho6Tm2 structure. Source: Alexandria via LeMat-Bulk, functional PBE.

POSCAR file:
```
Tb3Ho6Tm2
1.0
2.277 1.315 20.473
-2.277 1.315 20.473
0.000 -2.629 20.473
Tb Ho Tm
3 6 2
Direct
0.000 0.000 0.000 Tb
0.271 0.271 0.271 Tb
0.729 0.729 0.729 Tb
0.092 0.092 0.092 Ho
0.182 0.182 0.182 Ho
0.364 0.364 0.364 Ho
0.636 0.636 0.636 Ho
0.818 0.818 0.818 Ho
0.908 0.908 0.908 Ho
0.455 0.455 0.455 Tm
0.545 0.545 0.545 Tm
```

Values from the calculation:
The distance to the lowest polymorph of the same formula comes out at 507 meV/atom. The calculated formation energy comes out at 0.7966 eV per atom. Its space group is No. 166. The total energy is -3.78 eV per atom.

***

Record 3
A geometry-optimized Tb5ErMg3 structure. Source: Alexandria via LeMat-Bulk, functional PBE.

POSCAR file:
```
Tb5ErMg3
1.0
9.369 0.000 0.000
-4.684 8.114 0.000
0.000 0.000 6.925
Tb Er Mg
10 2 6
Direct
0.000 0.332 0.250 Tb
0.000 0.668 0.750 Tb
0.332 0.000 0.250 Tb
0.332 0.332 0.750 Tb
0.333 0.667 0.000 Tb
0.333 0.667 0.500 Tb
0.667 0.333 0.000 Tb
0.667 0.333 0.500 Tb
0.668 0.000 0.750 Tb
0.668 0.668 0.250 Tb
0.000 0.000 0.000 Er
0.000 0.000 0.500 Er
0.000 0.333 0.750 Mg
0.000 0.667 0.250 Mg
0.333 0.000 0.750 Mg
0.333 0.333 0.250 Mg
0.667 0.000 0.250 Mg
0.667 0.667 0.750 Mg
```

Values from the calculation:
The calculated formation energy comes out at 0.0049 eV per atom. Its space group is No. 193. The total energy is -3.61 eV per atom.

***

Record 4
A geometry-optimized Ca3TbBi2As structure. Source: Alexandria via LeMat-Bulk, functional PBE.

POSCAR file:
```
Ca3TbBi2As
1.0
-2.664 2.719 8.296
2.664 -2.719 8.296
2.664 2.719 -8.296
Ca Tb Bi As
3 1 2 1
Direct
0.000 0.000 0.000 Ca
0.175 0.675 0.500 Ca
0.825 0.325 0.500 Ca
0.500 0.500 0.000 Tb
0.367 0.867 0.500 Bi
0.633 0.133 0.500 Bi
0.000 0.500 0.500 As
```

Values from the calculation:
The calculated formation energy comes out at -0.8912 eV per atom. Its space group is No. 71. The total energy is -4.18 eV per atom.

***

Record 5
A geometry-optimized ZrNi2Pb2 structure. Source: Alexandria via LeMat-Bulk, functional PBE.

POSCAR file:
```
ZrNi2Pb2
1.0
6.896 0.000 0.000
0.000 6.896 0.000
0.000 0.000 4.060
Zr Ni Pb
2 4 4
Direct
0.000 0.000 0.000 Zr
0.500 0.500 0.000 Zr
0.123 0.377 0.000 Ni
0.377 0.877 0.000 Ni
0.623 0.123 0.000 Ni
0.877 0.623 0.000 Ni
0.179 0.679 0.500 Pb
0.321 0.179 0.500 Pb
0.679 0.821 0.500 Pb
0.821 0.321 0.500 Pb
```

Values from the calculation:
The calculated formation energy comes out at 0.0382 eV per atom. Its space group is No. 127. The total energy is -5.47 eV per atom.

***

Record 6
A geometry-optimized CdMoAs2 structure. Source: Alexandria via LeMat-Bulk, functional PBE.

POSCAR file:
```
CdMoAs2
1.0
3.478 0.000 0.000
0.000 4.682 0.000
-1.724 0.000 4.666
Cd Mo As
1 1 2
Direct
0.000 0.000 0.000 Cd
0.606 0.500 0.216 Mo
0.316 0.500 0.638 As
0.721 0.000 0.448 As
```

Values from the calculation:
The calculated formation energy comes out at 0.1821 eV per atom. Its space group is No. 6. The total energy is -5.08 eV per atom.